[1]
Here is a relaxed structure of NaTl2CdPt from Alexandria. Energies are from PBE-GGA.

Output
VASP energy   -13.12 eV/cell
Crystal system   tetragonal
DFT formation energy   -0.02 eV/atom
E above lowest polymorph   43.6 meV per atom
Magnetization   0.00 μB per formula unit

a b c (Å): 5.2935 5.2935 5.5461
angles (deg): 90.00 90.00 90.00
Element x y z (fractional)
Na 0.0000 0.0000 0.5000
Tl 0.0000 0.5000 0.0000
Tl 0.5000 0.0000 0.0000
Pt 0.0000 0.0000 0.0000
Cd 0.5000 0.5000 0.5000

[2]
Here is a relaxed structure of NaTmCdPt from Alexandria. Energies are from PBE-GGA.

Output
VASP energy   -14.53 eV/cell
Crystal system   cubic
DFT formation energy   -0.45 eV/atom
Magnetization   0.00 μB per formula unit

a b c (Å): 4.8876 4.8876 4.8876
angles (deg): 60.00 60.00 60.00
Element x y z (fractional)
Na 0.2500 0.2500 0.2500
Tm 0.5000 0.5000 0.5000
Pt 0.7500 0.7500 0.7500
Cd 0.0000 0.0000 0.0000

[3]
Here is a relaxed structure of NaCdPt2W from Alexandria. Energies are from PBE-GGA.

Output
VASP energy   -23.93 eV/cell
Crystal system   tetragonal
DFT formation energy   0.67 eV/atom
Magnetization   0.00 μB per formula unit

a b c (Å): 4.8853 5.3617 4.8853
angles (deg): 90.00 90.00 90.00
Element x y z (fractional)
Na 0.5000 0.5000 0.5000
W 0.0000 0.0000 0.0000
Pt 0.0000 0.0000 0.5000
Pt 0.5000 0.0000 0.0000
Cd 0.0000 0.5000 0.0000

[4]
Here is a relaxed structure of NaYCdPt from Alexandria. Energies are from PBE-GGA.

Output
VASP energy   -16.52 eV/cell
Crystal system   cubic
DFT formation energy   -0.44 eV/atom
Magnetization   0.00 μB per formula unit

a b c (Å): 4.9300 4.9300 4.9300
angles (deg): 60.00 60.00 60.00
Element x y z (fractional)
Y 0.5000 0.5000 0.5000
Na 0.2500 0.2500 0.2500
Pt 0.7500 0.7500 0.7500
Cd 0.0000 0.0000 0.0000

[5]
Here is a relaxed structure of NaZn2CdPt from Alexandria. Energies are from PBE-GGA.

Output
VASP energy   -11.78 eV/cell
Crystal system   tetragonal
DFT formation energy   -0.19 eV/atom
Magnetization   0.00 μB per formula unit

a b c (Å): 4.8959 4.8959 5.2407
angles (deg): 90.00 90.00 90.00
Element x y z (fractional)
Na 0.5000 0.5000 0.5000
Zn 0.0000 0.5000 0.0000
Zn 0.5000 0.0000 0.0000
Pt 0.0000 0.0000 0.0000
Cd 0.0000 0.0000 0.5000

[6]
Here is a relaxed structure of NaZnCd2Pt from Alexandria. Energies are from PBE-GGA.

Output
VASP energy   -11.32 eV/cell
Crystal system   tetragonal
DFT formation energy   -0.17 eV/atom
Magnetization   0.00 μB per formula unit

a b c (Å): 5.2534 5.2534 4.8940
angles (deg): 90.00 90.00 90.00
Element x y z (fractional)
Na 0.5000 0.5000 0.5000
Zn 0.0000 0.0000 0.5000
Pt 0.0000 0.0000 0.0000
Cd 0.0000 0.5000 0.0000
Cd 0.5000 0.0000 0.0000

[7]
Here is a relaxed structure of NaPuCd from Alexandria. Energies are from PBE-GGA.

Output
VASP energy   -32.59 eV/cell
Crystal system   monoclinic
DFT formation energy   0.09 eV/atom
Magnetization   0.00 μB per formula unit

a b c (Å): 3.6072 3.0217 13.8199
angles (deg): 87.41 74.90 89.99
Element x y z (fractional)
Pu 0.7960 0.1343 0.4539
Pu 0.2040 0.8657 0.5461
Cd 0.4688 0.6932 0.2808
Cd 0.5312 0.3068 0.7192
Na 0.8602 0.7684 0.8904
Na 0.1398 0.2316 0.1096

[8]
Here is a relaxed structure of Na2PuCd from Alexandria. Energies are from PBE-GGA.

Output
VASP energy   -16.84 eV/cell
Crystal system   trigonal
DFT formation energy   0.26 eV/atom
Magnetization   6.22 μB per formula unit

a b c (Å): 3.2756 3.2756 12.5214
angles (deg): 82.48 82.48 60.00
Element x y z (fractional)
Na 0.0919 0.0919 0.7243
Na 0.9081 0.9081 0.2757
Cd 0.5000 0.5000 0.5000
Pu 0.0000 0.0000 0.0000